1.
Material: Ba4AgAsBr2
Method: DFT, GGA-PBE
State: relaxed

Cell: 8.3447 4.7774 8.4756 Å, 90.00 107.59 90.00°
With the nearest neighbours (Å) after each atom.
Fractional coordinates of all 8 atoms:
Ba  0.2325  0.0000  0.2205  2 As 3.28, 1 Ag 3.32, 3 Br 3.49-3.62
Ba  0.2482  0.5000  0.7665  1 As 3.27, 2 Ag 3.39, 3 Br 3.50-3.52
Ba  0.7518  0.5000  0.2335  1 As 3.27, 2 Ag 3.39, 3 Br 3.50-3.52
Ba  0.7675  0.0000  0.7795  2 As 3.28, 1 Ag 3.32, 3 Br 3.49-3.62
Ag  0.5000  0.0000  0.0000  6 Ba 3.32-3.39
As  0.0000  0.5000  0.0000  6 Ba 3.27-3.28
Br  0.0000  0.0000  0.5000  6 Ba 3.49-3.50
Br  0.5000  0.5000  0.5000  6 Ba 3.52-3.62

Summary:
For the formation energy without anion corrections, the calculation gives -1212 meV per atom.

---

2.
Material: K2Zn
Method: DFT, GGA-PBE
State: relaxed

Cell: 9.9125 9.9125 8.2144 Å, 90.00 90.00 120.00°
With the nearest neighbours (Å) after each atom.
Fractional coordinates of all 12 atoms:
K  0.0000  0.0000  0.0000  8 K 4.00-4.11
K  0.0000  0.0000  0.5000  8 K 4.00-4.11
K  0.1996  0.3992  0.2500  2 Zn 3.64, 4 K 3.98-4.00
K  0.1996  0.8004  0.2500  2 Zn 3.64, 4 K 3.98-4.00
K  0.3992  0.1996  0.7500  2 Zn 3.64, 4 K 3.98-4.00
K  0.6008  0.8004  0.2500  2 Zn 3.64, 4 K 3.98-4.00
K  0.8004  0.1996  0.7500  2 Zn 3.64, 4 K 3.98-4.00
K  0.8004  0.6008  0.7500  2 Zn 3.64, 4 K 3.98-4.00
Zn  0.3333  0.6667  0.5932  1 Zn 2.58
Zn  0.3333  0.6667  0.9068  1 Zn 2.58
Zn  0.6667  0.3333  0.0932  1 Zn 2.58
Zn  0.6667  0.3333  0.4068  1 Zn 2.58

Summary:
The value obtained for the formation energy is 0.305 eV/atom.

---

3.
Material: Li2TlHgSb
Method: DFT, GGA-PBE
State: relaxed

Cell: 5.2306 5.2306 5.9362 Å, 90.00 90.00 90.00°
With the nearest neighbours (Å) after each atom.
Fractional coordinates of all 5 atoms:
Li  0.0000  0.5000  0.0000  2 Sb 2.62
Li  0.5000  0.0000  0.0000  2 Sb 2.62
Tl  0.0000  0.0000  0.5000  2 Sb 2.97
Hg  0.5000  0.5000  0.5000  4 Tl 3.70, 8 Li 3.96
Sb  0.0000  0.0000  0.0000  4 Li 2.62

Summary:
For the formation energy without anion corrections, the calculation gives -128 meV per atom.

---

4.
Material: Tm3Mg2In
Method: DFT, GGA-PBE
State: relaxed

Cell: 5.2558 15.8460 3.7440 Å, 90.00 90.00 90.00°
With the nearest neighbours (Å) after each atom.
Fractional coordinates of all 12 atoms:
Tm  0.0000  0.0000  0.0000  4 In 3.23, 4 Mg 3.28
Tm  0.0000  0.3334  0.0000  6 Mg 3.19-3.23, 2 In 3.24
Tm  0.0000  0.6666  0.0000  6 Mg 3.19-3.23, 2 In 3.24
Tm  0.5000  0.1666  0.0000  6 Mg 3.19-3.23, 2 In 3.24
Tm  0.5000  0.5000  0.0000  4 In 3.23, 4 Mg 3.28
Tm  0.5000  0.8334  0.0000  6 Mg 3.19-3.23, 2 In 3.24
Mg  0.0000  0.1703  0.5000  8 Tm 3.19-3.28
Mg  0.0000  0.8297  0.5000  8 Tm 3.19-3.28
Mg  0.5000  0.3297  0.5000  8 Tm 3.19-3.28
Mg  0.5000  0.6703  0.5000  8 Tm 3.19-3.28
In  0.0000  0.5000  0.5000  8 Tm 3.23-3.24
In  0.5000  0.0000  0.5000  8 Tm 3.23-3.24

Summary:
The value obtained for the formation energy is -0.213 eV/atom.

---

5.
Material: Li2ReNi
Method: DFT, GGA-PBE
State: relaxed

Cell: 5.8235 5.8235 5.8235 Å, 90.00 90.00 90.00°
With the nearest neighbours (Å) after each atom.
Fractional coordinates of all 16 atoms:
Li  0.0000  0.0000  0.0000  4 Li 2.52, 4 Ni 2.52
Li  0.0000  0.5000  0.5000  4 Li 2.52, 4 Ni 2.52
Li  0.2500  0.2500  0.2500  4 Re 2.52, 4 Li 2.52
Li  0.2500  0.7500  0.7500  4 Li 2.52, 4 Re 2.52
Li  0.5000  0.0000  0.5000  4 Li 2.52, 4 Ni 2.52
Li  0.5000  0.5000  0.0000  4 Li 2.52, 4 Ni 2.52
Li  0.7500  0.2500  0.7500  4 Li 2.52, 4 Re 2.52
Li  0.7500  0.7500  0.2500  4 Re 2.52, 4 Li 2.52
Re  0.0000  0.0000  0.5000  4 Ni 2.52, 4 Li 2.52
Re  0.0000  0.5000  0.0000  4 Ni 2.52, 4 Li 2.52
Re  0.5000  0.0000  0.0000  4 Ni 2.52, 4 Li 2.52
Re  0.5000  0.5000  0.5000  4 Li 2.52, 4 Ni 2.52
Ni  0.2500  0.2500  0.7500  4 Li 2.52, 4 Re 2.52
Ni  0.2500  0.7500  0.2500  4 Li 2.52, 4 Re 2.52
Ni  0.7500  0.2500  0.2500  4 Li 2.52, 4 Re 2.52
Ni  0.7500  0.7500  0.7500  4 Li 2.52, 4 Re 2.52

Summary:
The value obtained for the formation energy is 0.433 eV/atom.

---

6.
Material: Nd4DySb5
Method: DFT, GGA-PBE
State: relaxed

Cell: 7.7905 7.7905 7.7905 Å, 99.60 99.60 131.79°
With the nearest neighbours (Å) after each atom.
Fractional coordinates of all 10 atoms:
Nd  0.0982  0.3003  0.3985  6 Sb 3.18-3.21
Nd  0.3003  0.9018  0.2022  6 Sb 3.18-3.21
Nd  0.6997  0.0982  0.7978  6 Sb 3.18-3.21
Nd  0.9018  0.6997  0.6015  6 Sb 3.18-3.21
Dy  0.5000  0.5000  0.0000  6 Sb 3.13-3.18
Sb  0.0000  0.0000  0.0000  4 Nd 3.18, 2 Dy 3.18
Sb  0.2047  0.5989  0.8036  1 Dy 3.13, 5 Nd 3.18-3.21
Sb  0.4011  0.2047  0.6058  1 Dy 3.13, 5 Nd 3.18-3.21
Sb  0.5989  0.7953  0.3942  1 Dy 3.13, 5 Nd 3.18-3.21
Sb  0.7953  0.4011  0.1964  1 Dy 3.13, 5 Nd 3.18-3.21

Summary:
For the formation energy without anion corrections, the calculation gives -1173 meV per atom.

---

7.
Material: NaFeRh3
Method: DFT, GGA-PBE
State: relaxed

Cell: 4.4141 4.4141 4.4141 Å, 90.00 90.00 90.00°
With the nearest neighbours (Å) after each atom.
Fractional coordinates of all 5 atoms:
Na  0.0000  0.0000  0.0000  6 Rh 2.21
Fe  0.5000  0.5000  0.5000  12 Rh 3.12
Rh  0.0000  0.0000  0.5000  2 Na 2.21
Rh  0.0000  0.5000  0.0000  2 Na 2.21
Rh  0.5000  0.0000  0.0000  2 Na 2.21

Summary:
The value obtained for the formation energy is 2.113 eV/atom.

---

8.
Material: Sr2FeBr
Method: DFT, GGA-PBE
State: relaxed

Cell: 3.9460 3.9460 9.1453 Å, 90.00 90.00 90.00°
With the nearest neighbours (Å) after each atom.
Fractional coordinates of all 4 atoms:
Sr  0.0000  0.0000  0.0000  4 Fe 3.28
Sr  0.5000  0.5000  0.3815  4 Br 3.17
Fe  0.5000  0.5000  0.8106  4 Sr 3.28
Br  0.0000  0.0000  0.5461  4 Sr 3.17

Summary:
For the formation energy without anion corrections, the calculation gives -6 meV per atom.

---

9.
Material: Y2HoTm6
Method: DFT, GGA-PBE
State: relaxed

Cell: 10.5295 10.5295 4.9701 Å, 90.00 90.00 90.00°
With the nearest neighbours (Å) after each atom.
Fractional coordinates of all 18 atoms:
Y  0.1667  0.1667  0.0000  10 Tm 3.51-3.52, 2 Ho 3.51
Y  0.3333  0.6667  0.5000  10 Tm 3.51-3.52, 2 Ho 3.51
Y  0.6667  0.3333  0.5000  10 Tm 3.51-3.52, 2 Ho 3.51
Y  0.8333  0.8333  0.0000  10 Tm 3.51-3.52, 2 Ho 3.51
Ho  0.0000  0.0000  0.5000  4 Y 3.51, 8 Tm 3.51-3.52
Ho  0.5000  0.5000  0.0000  4 Y 3.51, 8 Tm 3.51-3.52
Tm  0.0004  0.3344  0.5000  8 Tm 3.49-3.52, 3 Y 3.51-3.52, 1 Ho 3.52
Tm  0.9996  0.6656  0.5000  8 Tm 3.49-3.52, 3 Y 3.51-3.52, 1 Ho 3.52
Tm  0.1656  0.5004  0.0000  8 Tm 3.49-3.52, 3 Y 3.51-3.52, 1 Ho 3.52
Tm  0.1668  0.8332  0.0000  6 Tm 3.50-3.52, 4 Y 3.51, 2 Ho 3.51
Tm  0.3332  0.3332  0.5000  6 Tm 3.50-3.52, 4 Y 3.51, 2 Ho 3.51
Tm  0.3344  0.0004  0.5000  8 Tm 3.49-3.52, 3 Y 3.51-3.52, 1 Ho 3.52
Tm  0.5004  0.1656  0.0000  8 Tm 3.49-3.52, 3 Y 3.51-3.52, 1 Ho 3.52
Tm  0.4996  0.8344  0.0000  8 Tm 3.49-3.52, 3 Y 3.51-3.52, 1 Ho 3.52
Tm  0.6656  0.9996  0.5000  8 Tm 3.49-3.52, 3 Y 3.51-3.52, 1 Ho 3.52
Tm  0.6668  0.6668  0.5000  6 Tm 3.50-3.52, 4 Y 3.51, 2 Ho 3.51
Tm  0.8332  0.1668  0.0000  6 Tm 3.50-3.52, 4 Y 3.51, 2 Ho 3.51
Tm  0.8344  0.4996  0.0000  8 Tm 3.49-3.52, 3 Y 3.51-3.52, 1 Ho 3.52

Summary:
The value obtained for the formation energy is 0.028 eV/atom.

---

10.
Material: SnPtS2N
Method: DFT, GGA-PBE
State: relaxed

Cell: 5.0429 5.0429 3.7184 Å, 90.00 90.00 90.00°
With the nearest neighbours (Å) after each atom.
Fractional coordinates of all 5 atoms:
Sn  0.0000  0.0000  0.0000  8 S 3.13
Pt  0.5000  0.5000  0.5000  2 N 1.86
S  0.0000  0.5000  0.5000  2 Pt 2.52
S  0.5000  0.0000  0.5000  2 Pt 2.52
N  0.5000  0.5000  0.0000  2 Pt 1.86

Summary:
For the formation energy without anion corrections, the calculation gives 386 meV per atom.

---

11.
Material: Ce3Ga9Co2
Method: DFT, GGA-PBE
State: relaxed

Cell: 8.0632 8.0632 8.0632 Å, 148.79 108.89 79.69°
With the nearest neighbours (Å) after each atom.
Fractional coordinates of all 14 atoms:
Ce  0.0000  0.0000  0.0000  12 Ga 3.10-3.15
Ce  0.3064  0.3064  0.0000  2 Co 2.90, 10 Ga 3.08-3.23
Ce  0.6936  0.6936  0.0000  2 Co 2.90, 10 Ga 3.08-3.23
Ga  0.0113  0.6507  0.3605  1 Co 2.56, 4 Ga 2.56-2.80
Ga  0.1508  0.8687  0.2821  4 Ga 2.56-2.80, 2 Co 2.74
Ga  0.2902  0.6507  0.6395  1 Co 2.56, 4 Ga 2.56-2.80
Ga  0.4133  0.1313  0.2821  4 Ga 2.56-2.80, 2 Co 2.74
Ga  0.5000  0.0000  0.5000  4 Ga 2.61, 4 Co 2.71
Ga  0.5867  0.8687  0.7179  4 Ga 2.56-2.80, 2 Co 2.74
Ga  0.7098  0.3493  0.3605  1 Co 2.56, 4 Ga 2.56-2.80
Ga  0.8492  0.1313  0.7179  4 Ga 2.56-2.80, 2 Co 2.74
Ga  0.9887  0.3493  0.6395  1 Co 2.56, 4 Ga 2.56-2.80
Co  0.3261  0.5000  0.8261  8 Ga 2.56-2.74
Co  0.6739  0.5000  0.1739  8 Ga 2.56-2.74

Summary:
The value obtained for the formation energy is -0.480 eV/atom.

---

12.
Material: Y2PaS5
Method: DFT, GGA-PBE
State: relaxed

Cell: 11.8469 7.9094 7.3860 Å, 90.00 90.00 90.00°
With the nearest neighbours (Å) after each atom.
Fractional coordinates of all 32 atoms:
Y  0.1798  0.0019  0.0173  8 S 2.80-3.02
Y  0.1798  0.4981  0.0173  8 S 2.80-3.02
Y  0.3202  0.5019  0.5173  8 S 2.80-3.02
Y  0.3202  0.9981  0.5173  8 S 2.80-3.02
Y  0.6798  0.0019  0.4827  8 S 2.80-3.02
Y  0.6798  0.4981  0.4827  8 S 2.80-3.02
Y  0.8202  0.5019  0.9827  8 S 2.80-3.02
Y  0.8202  0.9981  0.9827  8 S 2.80-3.02
Pa  0.0075  0.7500  0.5751  7 S 2.66-2.83
Pa  0.4925  0.2500  0.0751  7 S 2.66-2.83
Pa  0.5075  0.7500  0.9249  7 S 2.66-2.83
Pa  0.9925  0.2500  0.4249  7 S 2.66-2.83
S  0.0007  0.2500  0.0419  1 Pa 2.83, 4 Y 2.90-2.95
S  0.1019  0.0436  0.6618  2 Pa 2.66-2.72, 2 Y 2.80-2.82
S  0.1019  0.4564  0.6618  2 Pa 2.66-2.72, 2 Y 2.80-2.82
S  0.1835  0.7500  0.3241  1 Pa 2.79, 4 Y 2.92-3.02
S  0.2161  0.2500  0.2985  1 Pa 2.81, 4 Y 2.85-2.89
S  0.2839  0.7500  0.7985  1 Pa 2.81, 4 Y 2.85-2.89
S  0.3165  0.2500  0.8241  1 Pa 2.79, 4 Y 2.92-3.02
S  0.3981  0.5436  0.1618  2 Pa 2.66-2.72, 2 Y 2.80-2.82
S  0.3981  0.9564  0.1618  2 Pa 2.66-2.72, 2 Y 2.80-2.82
S  0.4993  0.7500  0.5419  1 Pa 2.83, 4 Y 2.90-2.95
S  0.5007  0.2500  0.4581  1 Pa 2.83, 4 Y 2.90-2.95
S  0.6019  0.0436  0.8382  2 Pa 2.66-2.72, 2 Y 2.80-2.82
S  0.6019  0.4564  0.8382  2 Pa 2.66-2.72, 2 Y 2.80-2.82
S  0.6835  0.7500  0.1759  1 Pa 2.79, 4 Y 2.92-3.02
S  0.7161  0.2500  0.2015  1 Pa 2.81, 4 Y 2.85-2.89
S  0.7839  0.7500  0.7015  1 Pa 2.81, 4 Y 2.85-2.89
S  0.8165  0.2500  0.6759  1 Pa 2.79, 4 Y 2.92-3.02
S  0.8981  0.5436  0.3382  2 Pa 2.66-2.72, 2 Y 2.80-2.82
S  0.8981  0.9564  0.3382  2 Pa 2.66-2.72, 2 Y 2.80-2.82
S  0.9993  0.7500  0.9581  1 Pa 2.83, 4 Y 2.90-2.95

Summary:
For the formation energy without anion corrections, the calculation gives -1879 meV per atom.

---

| no. | VASP energy (eV/atom) | DOS at the Fermi energy (states/eV/cell) |
| --- | --- | --- |
| 1 | -3.529 | 6.6 |
| 2 | -0.851 | 8.8 |
| 3 | -2.252 | 2.0 |
| 4 | -3.437 | 10.8 |
| 5 | -5.081 | 22.5 |
| 6 | -5.601 | 1.4 |
| 7 | -4.255 | 7.6 |
| 8 | -3.381 | 4.2 |
| 9 | -4.898 | 23.7 |
| 10 | -4.939 | 3.3 |
| 11 | -4.713 | 13.9 |
| 12 | -7.262 | 21.4 |